A relaxed MnInClF2 crystal. Source: Alexandria, functional PBE with a Hubbard U.

Cell: 4.321 4.321 5.231 Å, 90.00 90.00 90.00°
Site moments in Bohr magnetons follow the coordinates.
Sites, in units of the cell vectors:
F  0.000  0.500  0.000  0.04
Mn  0.000  0.000  0.000  4.68
In  0.500  0.500  0.500  0.00
F  0.500  0.000  0.000  0.04
Cl  0.000  0.000  0.500  0.02

Calculated values
The polymorph energy (0 for the lowest one) comes out at 0.0 kJ/mol of atoms. As for the space group: P4/mmm. The total moment comes out at 5.0 μB per formula unit. For the density of states at the Fermi level, the calculation gives 0.000 states/eV/cell.